(1)
A plane-wave DFT calculation with GGA-PBE was carried out for crystalline Sm2AuSe at its relaxed geometry.

Cell lengths 4.369, 4.042, 11.919 Å; angles 99.76, 90.00, 90.00 degrees
Element x y z (fractional)
Sm 0.750 0.933 0.866
Sm 0.250 0.067 0.134
Au 0.750 0.545 0.089
Au 0.250 0.455 0.911
Sm 0.750 0.683 0.367
Sm 0.250 0.317 0.633
Se 0.750 0.808 0.616
Se 0.250 0.192 0.384

Summary:
Its polymorph energy (0 for the lowest one) is 0.0000 eV/atom. The value obtained for the formation energy from raw total energies is -1.3167 eV per atom. The symmetry is Cmcm (63).

***

(2)
A plane-wave DFT calculation with GGA-PBE was carried out for crystalline Sm2AuSe at its relaxed geometry.

Cell lengths 4.121, 4.121, 7.702 Å; angles 74.49, 74.49, 60.01 degrees
Element x y z (fractional)
Au 0.500 0.500 0.500
Se 0.000 0.000 0.000
Sm 0.251 0.251 0.247
Sm 0.749 0.749 0.753

Summary:
Its polymorph energy (0 for the lowest one) is 0.0548 eV/atom. The value obtained for the formation energy from raw total energies is -1.2619 eV per atom. The symmetry is R-3m (166).

***

(3)
A plane-wave DFT calculation with GGA-PBE was carried out for crystalline Sm7AuSe5 at its relaxed geometry.

Cell lengths 4.106, 7.145, 24.992 Å; angles 89.98, 90.00, 106.70 degrees
Element x y z (fractional)
Sm 0.362 0.725 0.963
Sm 0.087 0.173 0.890
Sm 0.466 0.931 0.250
Sm 0.914 0.828 0.390
Se 0.553 0.107 0.356
Au 0.198 0.396 0.750
Sm 0.914 0.828 0.110
Sm 0.086 0.172 0.609
Se 0.000 0.001 0.000
Se 0.277 0.555 0.429
Se 0.553 0.107 0.144
Sm 0.195 0.391 0.322
Se 0.447 0.894 0.644
Se 0.447 0.895 0.856
Se 0.723 0.446 0.571
Sm 0.362 0.724 0.537
Se 0.277 0.555 0.071
Sm 0.638 0.276 0.463
Au 0.802 0.605 0.250
Sm 0.535 0.070 0.750
Sm 0.805 0.610 0.678
Sm 0.195 0.390 0.178
Sm 0.806 0.611 0.822
Se 0.723 0.447 0.929
Sm 0.638 0.277 0.037
Se 0.000 0.000 0.500

Summary:
The value obtained for the formation energy from raw total energies is -1.5276 eV per atom. The symmetry is C2/m (12).

***

(4)
A plane-wave DFT calculation with GGA-PBE was carried out for crystalline Sm4AuSe3 at its relaxed geometry.

Cell lengths 4.127, 7.341, 7.341 Å; angles 108.85, 90.00, 90.00 degrees
Element x y z (fractional)
Se 0.500 0.500 0.500
Sm 0.500 0.749 0.251
Sm 0.500 0.251 0.749
Se 0.000 0.500 0.000
Sm 0.000 0.248 0.248
Sm 0.000 0.752 0.752
Au 0.500 0.000 0.000
Se 0.000 0.000 0.500

Summary:
The value obtained for the formation energy from raw total energies is -1.5636 eV per atom. The symmetry is Cmmm (65).

***

(5)
A plane-wave DFT calculation with GGA-PBE was carried out for crystalline Sm3Au5Se12 at its relaxed geometry.

Cell lengths 14.020, 14.020, 14.020 Å; angles 109.47, 109.47, 109.47 degrees
Element x y z (fractional)
Au 0.375 0.125 0.750
Au 0.500 0.000 0.500
Se 0.958 0.369 0.290
Au 0.000 0.500 0.000
Se 0.921 0.089 0.631
Se 0.458 0.669 0.089
Au 0.000 0.500 0.500
Se 0.911 0.079 0.869
Sm 0.250 0.125 0.375
Se 0.421 0.131 0.589
Se 0.631 0.042 0.210
Se 0.079 0.911 0.369
Se 0.169 0.079 0.710
Se 0.421 0.290 0.331
Sm 0.250 0.625 0.875
Se 0.369 0.958 0.790
Au 0.625 0.750 0.875
Se 0.089 0.921 0.131
Sm 0.625 0.375 0.750
Au 0.500 0.500 0.500
Se 0.131 0.710 0.542
Sm 0.875 0.125 0.250
Se 0.710 0.579 0.169
Sm 0.375 0.625 0.250
Au 0.000 0.000 0.500
Se 0.831 0.911 0.042
Se 0.542 0.210 0.131
Se 0.631 0.589 0.921
Au 0.750 0.625 0.375
Sm 0.750 0.375 0.125
Se 0.411 0.369 0.579
Sm 0.875 0.750 0.125
Sm 0.125 0.875 0.750
Se 0.921 0.831 0.790
Sm 0.375 0.750 0.625
Se 0.579 0.710 0.669
Au 0.250 0.875 0.125
Au 0.875 0.625 0.750
Se 0.210 0.669 0.079
Se 0.669 0.210 0.579
Se 0.042 0.411 0.831
Au 0.375 0.250 0.125
Sm 0.625 0.250 0.375
Se 0.869 0.579 0.911
Au 0.625 0.875 0.250
Se 0.169 0.089 0.958
Se 0.369 0.411 0.079
Au 0.875 0.250 0.625
Se 0.542 0.331 0.911
Se 0.869 0.290 0.458
Se 0.710 0.131 0.042
Au 0.250 0.375 0.625
Se 0.411 0.042 0.331
Au 0.125 0.750 0.375
Se 0.210 0.542 0.631
Se 0.579 0.869 0.411
Se 0.079 0.169 0.210
Se 0.331 0.542 0.411
Se 0.589 0.958 0.669
Se 0.042 0.631 0.710
Se 0.290 0.869 0.958
Se 0.089 0.169 0.458
Sm 0.125 0.250 0.875
Se 0.790 0.458 0.369
Se 0.290 0.421 0.831
Au 0.500 0.500 0.000
Se 0.790 0.331 0.921
Au 0.125 0.375 0.250
Se 0.831 0.921 0.290
Au 0.500 0.000 0.000
Au 0.000 0.000 0.000
Sm 0.750 0.875 0.625
Se 0.958 0.589 0.169
Se 0.458 0.790 0.869
Se 0.911 0.831 0.542
Se 0.589 0.631 0.421
Au 0.750 0.125 0.875
Se 0.331 0.790 0.421
Se 0.131 0.421 0.089
Se 0.669 0.458 0.589

Summary:
The value obtained for the formation energy from raw total energies is -0.5761 eV per atom. The symmetry is Ia-3d (230).

***

(6)
A plane-wave DFT calculation with GGA-PBE was carried out for crystalline Sm3AuSe2 at its relaxed geometry.

Cell lengths 7.322, 7.322, 13.225 Å; angles 100.77, 100.77, 108.96 degrees
Element x y z (fractional)
Sm 0.997 0.497 0.500
Se 0.832 0.332 0.665
Se 0.250 0.250 0.500
Se 0.418 0.418 0.835
Au 0.166 0.666 0.332
Se 0.750 0.750 0.500
Sm 0.503 0.003 0.500
Sm 0.828 0.331 0.164
Sm 0.336 0.833 0.164
Sm 0.914 0.917 0.336
Au 0.916 0.916 0.832
Sm 0.083 0.086 0.664
Se 0.000 0.500 0.000
Se 0.500 0.000 0.000
Sm 0.747 0.747 0.000
Sm 0.167 0.664 0.836
Sm 0.581 0.578 0.664
Sm 0.669 0.172 0.836
Au 0.084 0.084 0.168
Sm 0.422 0.419 0.336
Se 0.668 0.168 0.335
Au 0.334 0.834 0.668
Se 0.582 0.582 0.165
Sm 0.253 0.253 0.000

Summary:
Its polymorph energy (0 for the lowest one) is 0.0000 eV/atom. The value obtained for the formation energy from raw total energies is -1.4659 eV per atom. The symmetry is Fddd (70).

***

(7)
A plane-wave DFT calculation with GGA-PBE was carried out for crystalline Sm8AuSe6 at its relaxed geometry.

Cell lengths 4.172, 10.642, 10.642 Å; angles 120.00, 90.00, 90.00 degrees
Element x y z (fractional)
Sm 0.251 0.034 0.723
Se 0.250 0.354 0.872
Sm 0.251 0.689 0.966
Sm 0.251 0.667 0.333
Sm 0.749 0.966 0.277
Se 0.750 0.872 0.518
Sm 0.749 0.723 0.689
Sm 0.251 0.277 0.311
Se 0.250 0.518 0.646
Sm 0.749 0.333 0.667
Sm 0.749 0.311 0.034
Se 0.750 0.482 0.354
Se 0.750 0.646 0.128
Au 0.500 0.000 0.000
Se 0.250 0.128 0.482

Summary:
The value obtained for the formation energy from raw total energies is -1.3313 eV per atom. The symmetry is P-3 (147).

***

(8)
A plane-wave DFT calculation with GGA-PBE was carried out for crystalline Sm4TeAuSe2 at its relaxed geometry.

Cell lengths 4.175, 7.504, 7.425 Å; angles 71.59, 90.00, 90.00 degrees
Element x y z (fractional)
Se 0.500 0.000 0.500
Sm 0.000 0.233 0.263
Sm 0.500 0.246 0.743
Au 0.000 0.500 0.500
Se 0.000 0.000 0.000
Sm 0.500 0.754 0.257
Sm 0.000 0.767 0.737
Te 0.500 0.500 0.000

Summary:
The value obtained for the formation energy from raw total energies is -1.4450 eV per atom. The symmetry is P2/m (10).

***

Number 1: spin magnetization 0.00 μB per formula unit. Number 2: spin magnetization 0.00 μB per formula unit. Number 3: spin magnetization 0.00 μB per formula unit. Number 4: spin magnetization 0.00 μB per formula unit. Number 5: spin magnetization 0.00 μB per formula unit. Number 6: spin magnetization 0.00 μB per formula unit. Number 7: spin magnetization 0.00 μB per formula unit. Number 8: spin magnetization 0.00 μB per formula unit.